Record 1
Material: ZnRe2Mo
Method: DFT, PBE
State: optimized geometry

Computed properties:
Total energy (eV/atom): -9.029
Spin magnetization (μB/f.u.): 0.000

Unit cell a=2.6868 b=2.6868 c=8.9984 alpha=90.00 beta=90.00 gamma=110.37
Fractional coordinates of all 4 atoms:
Mo: 0.5000 0.5000 0.7523
Re: 0.5000 0.5000 0.2472
Re: 0.0000 0.0000 0.0011
Zn: 0.0000 0.0000 0.4994

Record 2
Material: Zn2ReMo
Method: DFT, PBE
State: optimized geometry

Computed properties:
Total energy (eV/atom): -6.268
Spin magnetization (μB/f.u.): 0.000

Unit cell a=4.7582 b=4.7582 c=4.9117 alpha=84.32 beta=84.32 gamma=32.59
Fractional coordinates of all 4 atoms:
Zn: 0.7506 0.7506 0.7684
Zn: 0.9975 0.9975 0.9833
Re: 0.2539 0.2539 0.2652
Mo: 0.4981 0.4981 0.4831

Record 3
Material: ZnRe2Mo
Method: DFT, PBE
State: optimized geometry

Computed properties:
Total energy (eV/atom): -9.095
Spin magnetization (μB/f.u.): 0.000

Unit cell a=2.7963 b=2.7963 c=7.7321 alpha=90.00 beta=90.00 gamma=90.00
Fractional coordinates of all 4 atoms:
Re: 0.0000 0.0000 0.0118
Re: 0.5000 0.5000 0.2441
Mo: 0.5000 0.5000 0.7501
Zn: 0.0000 0.0000 0.4940